The following is a DFT calculation (PBE) of Mn4CrP after structural relaxation.

Output
ρ = 7209 kg/m3
SG = F-43m
DFT formation energy = 0.288 eV per atom
total magnetization = 1.11 μB per formula unit
total DFT energy (no corrections) = -50.0 eV/f.u.

Cell: 4.620 4.620 4.620 Å, 60.00 60.00 60.00°
Fractional coordinates of all 6 atoms:
1 P 0.750 0.750 0.750
2 Mn 0.376 0.376 0.376
3 Mn 0.376 0.871 0.376
4 Mn 0.871 0.376 0.376
5 Mn 0.376 0.376 0.871
6 Cr 0.000 0.000 0.000